Density functional theory data (GGA-PBE) for a relaxed Pr3Br crystal.

Cell lengths 5.023, 5.023, 5.023 Å; angles 90.00, 90.00, 90.00 degrees
Space group Pm-3m (No. 221)
Unique sites:
Pr  0.000  0.000  0.500 [3 per cell]
Br  0.500  0.500  0.500 [1 per cell]

Calculated values
For the energy relative to the elements, uncorrected, the calculation gives -12.5 kJ per mole of atoms. For the relative energy among the computed polymorphs, the calculation gives 0.281 eV/atom.

=====

Density functional theory data (GGA-PBE) for a relaxed Ti2FeHg crystal.

Cell lengths 7.058, 7.058, 5.401 Å; angles 90.00, 90.00, 90.00 degrees
Space group I-42d (No. 122)
Unique sites:
Ti  0.196  0.250  0.125 [8 per cell]
Fe  0.000  0.000  0.000 [4 per cell]
Hg  0.000  0.000  0.500 [4 per cell]

Calculated values
For the formation energy, the calculation gives 0.25 eV/atom.

=====

Density functional theory data (GGA-PBE) for a relaxed B crystal.

Cell lengths 2.245, 2.245, 5.354 Å; angles 90.00, 90.00, 90.00 degrees
Space group I4_1/amd (No. 141, origin choice 2)
Unique sites:
B  0.000  0.250  0.375 [4 per cell]

Calculated values
For the formation energy, the calculation gives 0.35 eV/atom. For the relative energy among the computed polymorphs, the calculation gives 0.355 eV/atom.

=====

Density functional theory data (GGA-PBE) for a relaxed MnTcNi6 crystal.

Cell lengths 7.202, 10.168, 10.168 Å; angles 90.00, 90.00, 90.00 degrees
Space group Cmmm (No. 65)
Unique sites:
Mn  0.000  0.000  0.247 [4 per cell]
Mn  0.000  0.250  0.000 [4 per cell]
Tc  0.000  0.250  0.500 [4 per cell]
Tc  0.000  0.500  0.245 [4 per cell]
Ni  0.000  0.000  0.000 [2 per cell]
Ni  0.000  0.000  0.500 [2 per cell]
Ni  0.000  0.251  0.252 [8 per cell]
Ni  0.000  0.500  0.000 [2 per cell]
Ni  0.000  0.500  0.500 [2 per cell]
Ni  0.249  0.375  0.125 [16 per cell]
Ni  0.249  0.375  0.375 [16 per cell]

Calculated values
For the formation energy, the calculation gives -0.01 eV/atom. For the relative energy among the computed polymorphs, the calculation gives 0.008 eV/atom.

=====

Density functional theory data (GGA-PBE) for a relaxed NaPIrAu crystal.

Cell lengths 3.932, 3.932, 10.437 Å; angles 90.00, 90.00, 90.00 degrees
Space group P4/nmm (No. 129, origin choice 2)
Unique sites:
Na  0.250  0.250  0.229 [2 per cell]
P  0.250  0.250  0.626 [2 per cell]
Ir  0.250  0.750  0.500 [2 per cell]
Au  0.250  0.750  0.000 [2 per cell]

Calculated values
For the formation energy, the calculation gives -0.43 eV/atom.

=====

Density functional theory data (GGA-PBE) for a relaxed Dy3Ho2Tm7 crystal.

Cell lengths 5.593, 37.214, 3.546 Å; angles 90.00, 90.00, 90.00 degrees
Space group Cmmm (No. 65)
Unique sites:
Dy  0.000  0.000  0.000 [2 per cell]
Dy  0.000  0.185  0.000 [4 per cell]
Ho  0.000  0.353  0.500 [4 per cell]
Tm  0.000  0.091  0.500 [4 per cell]
Tm  0.000  0.269  0.500 [4 per cell]
Tm  0.000  0.428  0.000 [4 per cell]
Tm  0.000  0.500  0.500 [2 per cell]

Calculated values
For the formation energy, the calculation gives 0.11 eV/atom. For the relative energy among the computed polymorphs, the calculation gives 0.028 eV/atom.

=====

Quick rundown of VASP energy, same order as above: -4.133, -5.891, -6.322, -6.789, -5.144, -4.408 eV per atom
Quick rundown of magnetization, same order as above: 0.00, 0.00, 0.00, 0.81, 0.00, 0.00 μB per atom